<A>
SiAs3: relaxed, PBE. Values from VASP.

Structure (Quantum ESPRESSO input):
```
&SYSTEM
  ibrav = 0, nat = 16, ntyp = 2
/
ATOMIC_SPECIES
As 74.92 As.upf
Si 28.09 Si.upf
ATOMIC_POSITIONS angstrom
As 0.9096 6.3400 4.9145
As 4.5423 3.7292 1.6382
As 2.7231 2.9836 4.9145
As 6.3558 0.3728 1.6382
As 4.7220 1.3519 6.5213
As 1.0893 2.0045 0.0313
As 6.1761 4.7083 3.3076
As 2.5434 5.3609 3.2450
As 2.5434 5.3609 0.0313
As 6.1761 4.7083 6.5213
As 1.0893 2.0045 3.2450
As 4.7220 1.3519 3.3076
Si 4.5194 6.0396 4.9145
Si 0.8867 4.0297 1.6382
Si 6.3787 2.6832 4.9145
Si 2.7460 0.6732 1.6382
CELL_PARAMETERS angstrom
7.2654 0.0000 0.0000
0.0000 6.7128 0.0000
0.0000 0.0000 6.5527
```

---

<B>
SiAs3: relaxed, PBE. Values from VASP.

Structure (Quantum ESPRESSO input):
```
&SYSTEM
  ibrav = 0, nat = 8, ntyp = 2
/
ATOMIC_SPECIES
Si 28.09 Si.upf
As 74.92 As.upf
ATOMIC_POSITIONS angstrom
Si 0.0000 0.0000 0.0000
Si -0.2107 2.0767 4.1085
As -2.9566 1.0364 3.6320
As -0.9445 -0.4814 2.7794
As 1.8321 -0.0612 4.4325
As 1.7706 1.1791 2.0794
As -1.1422 2.4174 1.3040
As 0.5976 4.2166 2.2068
CELL_PARAMETERS angstrom
-4.0242 3.0356 1.7052
0.1231 -2.4805 4.7062
3.4796 3.5985 1.8056
```

---

Quick ranking, most stable first: <A>, <B>.

---

<A>
SiAs3: relaxed, PBE. Values from VASP.

Structure (Quantum ESPRESSO input):
```
&SYSTEM
  ibrav = 0, nat = 4, ntyp = 2
/
ATOMIC_SPECIES
As 74.92 As.upf
Si 28.09 Si.upf
ATOMIC_POSITIONS angstrom
As 0.1290 0.0929 0.0318
As 4.8873 4.4106 2.8607
As 3.5720 2.5732 0.8794
Si 1.1863 1.7445 1.9496
CELL_PARAMETERS angstrom
-1.7268 2.2179 0.5241
0.3984 -1.3950 2.4639
7.4020 5.3322 1.8223
```

---

<B>
SiAs3: relaxed, PBE. Values from VASP.

Structure (Quantum ESPRESSO input):
```
&SYSTEM
  ibrav = 0, nat = 4, ntyp = 2
/
ATOMIC_SPECIES
As 74.92 As.upf
Si 28.09 Si.upf
ATOMIC_POSITIONS angstrom
As 0.0000 0.0000 0.4585
As 1.8908 0.0000 2.9968
As 1.8908 2.6126 2.5853
Si 0.0000 2.6126 0.9849
CELL_PARAMETERS angstrom
3.7816 0.0000 0.0000
0.0000 5.2252 0.0000
0.0000 0.0000 4.2153
```

---

Quick ranking, most stable first: <B>, <A>.

---

<A>
SiAs5: relaxed, PBE. Values from VASP.

Structure (Quantum ESPRESSO input):
```
&SYSTEM
  ibrav = 0, nat = 6, ntyp = 2
/
ATOMIC_SPECIES
Si 28.09 Si.upf
As 74.92 As.upf
ATOMIC_POSITIONS angstrom
Si 0.0000 8.2406 1.3371
As 0.0000 2.7913 5.7298
As 0.0000 9.9434 4.8005
As 0.0000 4.3107 2.4922
As 0.0000 6.1374 6.1223
As 0.0000 0.8320 1.4002
CELL_PARAMETERS angstrom
1.7687 5.4563 0.1277
-1.7687 5.4563 0.1277
0.0000 2.7194 6.7354
```

---

<B>
SiAs5: relaxed, PBE. Values from VASP.

Structure (Quantum ESPRESSO input):
```
&SYSTEM
  ibrav = 0, nat = 6, ntyp = 2
/
ATOMIC_SPECIES
Si 28.09 Si.upf
As 74.92 As.upf
ATOMIC_POSITIONS angstrom
Si 0.0000 0.0000 0.0000
As 2.6819 1.5484 0.0000
As 2.6819 -1.5484 0.0000
As 1.3409 -2.3226 2.5133
As 1.3409 2.3226 2.5133
As 2.6819 0.0000 2.5133
CELL_PARAMETERS angstrom
2.6819 -4.6452 0.0000
2.6819 4.6452 0.0000
0.0000 0.0000 5.0267
```

---

<C>
SiAs5: relaxed, PBE. Values from VASP.

Structure (Quantum ESPRESSO input):
```
&SYSTEM
  ibrav = 0, nat = 6, ntyp = 2
/
ATOMIC_SPECIES
Si 28.09 Si.upf
As 74.92 As.upf
ATOMIC_POSITIONS angstrom
Si 2.3080 4.6867 0.0000
As 2.3080 -1.8685 2.7847
As 2.3080 -1.8494 0.0000
As 2.3080 0.6950 2.7847
As 2.3080 0.6795 0.0000
As 2.3080 4.6847 2.7847
CELL_PARAMETERS angstrom
2.3080 -5.2710 0.0000
2.3080 5.2710 0.0000
0.0000 0.0000 5.5694
```

---

Quick ranking, most stable first: <A>, <C>, <B>.

---

<A>
SiAs5: relaxed, PBE. Values from VASP.

Structure (Quantum ESPRESSO input):
```
&SYSTEM
  ibrav = 0, nat = 6, ntyp = 2
/
ATOMIC_SPECIES
Si 28.09 Si.upf
As 74.92 As.upf
ATOMIC_POSITIONS angstrom
Si 0.7841 -1.7784 -0.1699
As -5.8699 -3.6134 10.7313
As -1.0497 -0.6461 1.9190
As -3.8445 -4.6276 8.2920
As -1.5069 -3.1887 4.0185
As -3.4598 -2.1298 6.3252
CELL_PARAMETERS angstrom
-0.7604 -2.3599 -1.2105
2.3286 -1.1969 0.8707
-6.9196 -4.2595 12.6503
```

---

<B>
SiAs5: relaxed, PBE. Values from VASP.

Structure (Quantum ESPRESSO input):
```
&SYSTEM
  ibrav = 0, nat = 6, ntyp = 2
/
ATOMIC_SPECIES
Si 28.09 Si.upf
As 74.92 As.upf
ATOMIC_POSITIONS angstrom
Si 0.0000 0.0000 0.0000
As 1.9592 1.9592 1.9592
As 4.9051 4.9051 4.9051
As 2.9318 2.9318 4.9051
As 4.9051 2.9318 2.9318
As 2.9318 4.9051 2.9318
CELL_PARAMETERS angstrom
0.0000 3.9184 3.9184
3.9184 0.0000 3.9184
3.9184 3.9184 0.0000
```

---

Quick ranking, most stable first: <A>, <B>.

---

<A>
Si4As: relaxed, PBE. Values from VASP.

Structure (Quantum ESPRESSO input):
```
&SYSTEM
  ibrav = 0, nat = 5, ntyp = 2
/
ATOMIC_SPECIES
As 74.92 As.upf
Si 28.09 Si.upf
ATOMIC_POSITIONS angstrom
As 2.3858 2.3858 2.3858
Si 0.0000 0.0000 0.0000
Si 2.3858 0.0000 2.3858
Si 0.0000 2.3858 2.3858
Si 2.3858 2.3858 0.0000
CELL_PARAMETERS angstrom
4.7716 0.0000 0.0000
0.0000 4.7716 0.0000
0.0000 0.0000 4.7716
```

---

<B>
Si4As: relaxed, PBE. Values from VASP.

Structure (Quantum ESPRESSO input):
```
&SYSTEM
  ibrav = 0, nat = 5, ntyp = 2
/
ATOMIC_SPECIES
Si 28.09 Si.upf
As 74.92 As.upf
ATOMIC_POSITIONS angstrom
Si 0.7984 -2.2984 0.6762
Si -0.4260 -0.3477 2.4648
Si 1.2498 1.7490 1.3253
Si -2.4743 0.2017 0.4632
As 0.0000 0.0000 0.0000
CELL_PARAMETERS angstrom
1.5968 -4.5968 1.3525
2.4997 3.4980 2.6505
-4.9486 0.4034 0.9265
```

---

<C>
Si4As: relaxed, PBE. Values from VASP.

Structure (Quantum ESPRESSO input):
```
&SYSTEM
  ibrav = 0, nat = 5, ntyp = 2
/
ATOMIC_SPECIES
Si 28.09 Si.upf
As 74.92 As.upf
ATOMIC_POSITIONS angstrom
Si 0.0045 2.0475 1.7104
Si 1.4084 3.4604 0.0000
Si 3.4514 1.4084 0.0000
Si 2.0475 -0.0045 1.7104
As 0.0000 0.0000 0.0000
CELL_PARAMETERS angstrom
-3.4559 3.4559 1.7104
3.4559 -3.4559 1.7104
3.4559 3.4559 -1.7104
```

---

<D>
Si4As: relaxed, PBE. Values from VASP.

Structure (Quantum ESPRESSO input):
```
&SYSTEM
  ibrav = 0, nat = 5, ntyp = 2
/
ATOMIC_SPECIES
Si 28.09 Si.upf
As 74.92 As.upf
ATOMIC_POSITIONS angstrom
Si 0.2876 1.7718 2.4982
Si 0.1553 3.0313 -0.5004
Si 3.6075 3.5721 1.3412
Si 2.0012 1.9816 0.7440
As 0.0000 0.0000 0.0000
CELL_PARAMETERS angstrom
2.9367 1.5174 4.0411
2.6721 4.0363 -1.9560
-5.1659 -0.7506 -0.0873
```

---

Quick ranking, most stable first: <D>, <C>, <B>, <A>.

---

<A>
Si2As3: relaxed, PBE. Values from VASP.

Structure (Quantum ESPRESSO input):
```
&SYSTEM
  ibrav = 0, nat = 5, ntyp = 2
/
ATOMIC_SPECIES
Si 28.09 Si.upf
As 74.92 As.upf
ATOMIC_POSITIONS angstrom
Si 1.8252 -1.0538 1.6455
Si 1.8252 1.0538 6.6526
As 0.0000 0.0000 0.0000
As 1.8252 -1.0538 5.3631
As 1.8252 1.0538 2.9350
CELL_PARAMETERS angstrom
1.8252 -3.1613 0.0000
1.8252 3.1613 0.0000
0.0000 0.0000 8.2981
```

---

<B>
Si2As3: relaxed, PBE. Values from VASP.

Structure (Quantum ESPRESSO input):
```
&SYSTEM
  ibrav = 0, nat = 10, ntyp = 2
/
ATOMIC_SPECIES
Si 28.09 Si.upf
As 74.92 As.upf
ATOMIC_POSITIONS angstrom
Si -2.5667 3.4027 4.3362
Si -2.2164 2.6918 -0.8207
Si -4.7148 3.9777 1.4648
Si -5.9272 2.0711 4.5679
As -7.7826 6.5889 2.6039
As -8.7424 4.0140 -0.0209
As -2.8897 5.0485 2.6283
As -5.5302 5.3783 -0.4173
As -3.8211 1.8808 0.7472
As -6.6108 3.8716 2.9995
CELL_PARAMETERS angstrom
-3.6529 3.8704 -3.3996
-6.1269 -0.0924 2.6892
-1.6733 4.1750 4.6567
```

---

Quick ranking, most stable first: <B>, <A>.

---

<A>
Si3As5: relaxed, PBE. Values from VASP.

Structure (Quantum ESPRESSO input):
```
&SYSTEM
  ibrav = 0, nat = 8, ntyp = 2
/
ATOMIC_SPECIES
Si 28.09 Si.upf
As 74.92 As.upf
ATOMIC_POSITIONS angstrom
Si -1.9307 -1.3901 -2.3286
Si -2.1198 1.2577 -3.7525
Si -4.3797 -0.3315 -0.9300
As 0.0000 0.0000 0.0000
As -2.3323 -1.6563 0.5429
As 0.4016 0.2662 -2.8715
As -2.3051 1.1432 -1.2020
As -4.1944 -0.2170 -3.4806
CELL_PARAMETERS angstrom
0.8032 0.5324 -5.7431
-4.6646 -3.3127 1.0859
-2.6381 3.7064 -0.0253
```

---

<B>
Si3As5: relaxed, PBE. Values from VASP.

Structure (Quantum ESPRESSO input):
```
&SYSTEM
  ibrav = 0, nat = 16, ntyp = 2
/
ATOMIC_SPECIES
As 74.92 As.upf
Si 28.09 Si.upf
ATOMIC_POSITIONS angstrom
As -1.5149 -0.5500 3.8216
As -5.3603 0.3781 0.1802
As -3.3566 -2.3663 0.5795
As -3.5186 2.1945 3.4223
As -2.1270 0.4670 -0.7759
As -7.0788 0.8393 -2.6853
As -0.9312 1.6463 1.3292
As -4.8190 -0.9129 3.2489
As -4.0600 3.4855 0.3536
As -2.7496 5.1089 4.9359
Si -3.9580 -1.0063 -1.7138
Si -5.2478 2.3126 -1.7474
Si -0.8160 2.0924 3.8172
Si -3.1031 0.1143 1.6987
Si -5.7759 2.4582 1.9038
Si -2.8647 4.6629 2.4478
CELL_PARAMETERS angstrom
-5.1982 -4.1827 -2.6626
0.3268 1.2663 7.0637
-4.0075 5.4889 -0.7986
```

---

Quick ranking, most stable first: <A>, <B>.

---

<A>
SiAs4: relaxed, PBE. Values from VASP.

Structure (Quantum ESPRESSO input):
```
&SYSTEM
  ibrav = 0, nat = 5, ntyp = 2
/
ATOMIC_SPECIES
Si 28.09 Si.upf
As 74.92 As.upf
ATOMIC_POSITIONS angstrom
Si 0.0000 0.0000 0.0000
As 0.3475 -0.5406 2.5057
As -1.3287 1.6898 1.4390
As 0.8399 2.3972 -0.4895
As -2.5160 -0.1668 -0.5773
CELL_PARAMETERS angstrom
0.6949 -1.0811 5.0114
1.6797 4.7944 -0.9790
-5.0321 -0.3337 -1.1545
```

---

<B>
SiAs4: relaxed, PBE. Values from VASP.

Structure (Quantum ESPRESSO input):
```
&SYSTEM
  ibrav = 0, nat = 5, ntyp = 2
/
ATOMIC_SPECIES
Si 28.09 Si.upf
As 74.92 As.upf
ATOMIC_POSITIONS angstrom
Si 2.3771 2.3771 2.3771
As 0.0000 0.0000 0.0000
As 2.3771 0.0000 2.3771
As 0.0000 2.3771 2.3771
As 2.3771 2.3771 0.0000
CELL_PARAMETERS angstrom
4.7542 0.0000 0.0000
0.0000 4.7542 0.0000
0.0000 0.0000 4.7542
```

---

Quick ranking, most stable first: <A>, <B>.